! Dy3Hg2C | the Alexandria database | PBE | relaxed; values from VASP
! Calculated formation energy   -0.265 eV/atom
! Theoretical density   10.4 g/cm³
! Relative energy among the computed polymorphs   145.7 meV per atom
! Spin magnetization   0.000 μB/atom
&SYSTEM
  ibrav = 0, nat = 12, ntyp = 3
/
ATOMIC_SPECIES
Dy 162.50 Dy.upf
Hg 200.59 Hg.upf
C 12.01 C.upf
ATOMIC_POSITIONS angstrom
Dy -0.7764 0.5705 2.6221
Dy 2.4489 2.0660 1.9187
Dy -0.6450 3.4368 0.2425
Dy 4.6470 3.4601 4.3197
Dy 2.5803 -1.4215 3.2284
Dy 1.4217 1.9645 5.0231
Hg 0.3226 6.2613 0.9231
Hg 0.3226 -0.9884 5.1324
Hg 3.5480 -2.2308 6.0187
Hg 3.5480 5.0189 1.8094
C 0.3226 2.6786 3.0033
C 3.5480 1.3520 3.9385
CELL_PARAMETERS angstrom
6.4507 0.1433 0.2468
-1.2900 6.8736 0.4851
-1.2900 -2.9864 6.2100

! La2ZnSi2 | the Alexandria database | PBE | relaxed; values from VASP
! Theoretical density   5.7 g/cm³
! DFT total energy   -5.043 eV/atom
! Spin magnetization   0.000 μB/atom
&SYSTEM
  ibrav = 0, nat = 10, ntyp = 3
/
ATOMIC_SPECIES
La 138.91 La.upf
Zn 65.41 Zn.upf
Si 28.09 Si.upf
ATOMIC_POSITIONS angstrom
La 4.3388 1.4356 3.3373
La 6.5082 2.3948 8.7681
La 4.3388 4.8282 6.0810
La 2.1694 3.8690 0.6502
Zn 4.3388 1.6777 6.5890
Zn 4.3388 4.5862 2.8293
Si 2.1694 2.3178 5.5703
Si 6.5082 5.6905 8.3255
Si 6.5082 3.9460 3.8480
Si 2.1694 0.5733 1.0928
CELL_PARAMETERS angstrom
4.3388 0.0000 0.0000
2.1694 5.6316 -0.1440
2.1694 0.6323 9.5623